A PBEsol-optimized structure of ZnPd3, computed with SCAN.

The structure in POSCAR format:
```
ZnPd3
1.0
3.8383 0.0000 0.0000
0.0000 3.8383 0.0000
0.0000 0.0000 3.8383
Zn Pd
1 3
Direct
0.0000 0.0000 0.0000
0.5000 0.5000 0.0000
0.5000 0.0000 0.5000
0.0000 0.5000 0.5000
```

Values from the calculation:
For the density of states at the Fermi level, the calculation gives 4.1 states/eV/f.u. As for the energy relative to the elements: -0.3055 eV/atom.